## LiDyCd2Au4 (PBE)

Data for crystalline LiDyCd2Au4 at its relaxed geometry.

Cell and atoms, written as CIF:
```
data_LiDyCd2Au4
_chemical_formula_sum 'Li1 Dy1 Cd2 Au4'
_symmetry_space_group_name_H-M 'P 4/m m m'
_symmetry_Int_Tables_number 123
_symmetry_space_group_name_Hall '-P 4 2'
_cell_length_a 4.834
_cell_length_b 4.834
_cell_length_c 6.732
_cell_angle_alpha 90.00
_cell_angle_beta 90.00
_cell_angle_gamma 90.00
loop_
_atom_site_label
_atom_site_type_symbol
_atom_site_fract_x
_atom_site_fract_y
_atom_site_fract_z
Li1 Li 0.000 0.000 0.000
Dy1 Dy 0.500 0.500 0.500
Cd1 Cd 0.000 0.000 0.500
Cd2 Cd 0.500 0.500 0.000
Au1 Au 0.000 0.500 0.232
```

=====

## TaAsAuO (PBE)

Data for crystalline TaAsAuO at its relaxed geometry.

Cell and atoms, written as CIF:
```
data_TaAsAuO
_chemical_formula_sum 'Ta2 As2 Au2 O2'
_symmetry_space_group_name_H-M 'P m c 21'
_symmetry_Int_Tables_number 26
_cell_length_a 3.022
_cell_length_b 6.689
_cell_length_c 7.450
_cell_angle_alpha 90.00
_cell_angle_beta 90.00
_cell_angle_gamma 90.00
loop_
_symmetry_equiv_pos_as_xyz
'x,y,z'
'-x,-y,z+1/2'
'-x,y,z'
'x,-y,z+1/2'
loop_
_atom_site_label
_atom_site_type_symbol
_atom_site_fract_x
_atom_site_fract_y
_atom_site_fract_z
Ta1 Ta 0.000 0.009 0.000
As1 As 0.500 0.322 0.892
Au1 Au 0.500 0.346 0.553
O1 O 0.000 0.080 0.246
```

=====

## KDySi (PBE)

Data for crystalline KDySi at its relaxed geometry.

Cell and atoms, written as CIF:
```
data_KDySi
_chemical_formula_sum 'K4 Dy4 Si4'
_symmetry_space_group_name_H-M 'F -4 3 m'
_symmetry_Int_Tables_number 216
_symmetry_space_group_name_Hall 'F -4 2 3'
_cell_length_a 7.276
_cell_length_b 7.276
_cell_length_c 7.276
_cell_angle_alpha 90.00
_cell_angle_beta 90.00
_cell_angle_gamma 90.00
loop_
_atom_site_label
_atom_site_type_symbol
_atom_site_fract_x
_atom_site_fract_y
_atom_site_fract_z
K1 K 0.000 0.000 0.000
Dy1 Dy 0.000 0.000 0.500
Si1 Si 0.250 0.250 0.750
```

=====

## TlOs2Pt (PBE)

Data for crystalline TlOs2Pt at its relaxed geometry.

Cell and atoms, written as CIF:
```
data_TlOs2Pt
_chemical_formula_sum 'Tl4 Os8 Pt4'
_symmetry_space_group_name_H-M 'F -4 3 m'
_symmetry_Int_Tables_number 216
_symmetry_space_group_name_Hall 'F -4 2 3'
_cell_length_a 6.438
_cell_length_b 6.438
_cell_length_c 6.438
_cell_angle_alpha 90.00
_cell_angle_beta 90.00
_cell_angle_gamma 90.00
loop_
_atom_site_label
_atom_site_type_symbol
_atom_site_fract_x
_atom_site_fract_y
_atom_site_fract_z
Tl1 Tl 0.000 0.000 0.000
Os1 Os 0.000 0.000 0.500
Os2 Os 0.250 0.250 0.750
Pt1 Pt 0.250 0.250 0.250
```

=====

## Co5W (PBE)

Data for crystalline Co5W at its relaxed geometry.

Calculated values
- DFT formation energy: 0.32 eV/atom

Cell and atoms, written as CIF:
```
data_Co5W
_chemical_formula_sum 'Co20 W4'
_symmetry_space_group_name_H-M 'C m c m'
_symmetry_Int_Tables_number 63
_symmetry_space_group_name_Hall '-C 2c 2'
_cell_length_a 4.654
_cell_length_b 8.385
_cell_length_c 7.432
_cell_angle_alpha 90.00
_cell_angle_beta 90.00
_cell_angle_gamma 90.00
loop_
_atom_site_label
_atom_site_type_symbol
_atom_site_fract_x
_atom_site_fract_y
_atom_site_fract_z
Co1 Co 0.000 0.000 0.000
Co2 Co 0.000 0.322 0.072
Co3 Co 0.242 0.425 0.750
W1 W 0.000 0.184 0.750
```

=====

## TmMgTl2 (PBE)

Data for crystalline TmMgTl2 at its relaxed geometry.

Cell and atoms, written as CIF:
```
data_TmMgTl2
_chemical_formula_sum 'Tm1 Mg1 Tl2'
_symmetry_space_group_name_H-M 'P 4/m m m'
_symmetry_Int_Tables_number 123
_symmetry_space_group_name_Hall '-P 4 2'
_cell_length_a 4.854
_cell_length_b 4.854
_cell_length_c 4.223
_cell_angle_alpha 90.00
_cell_angle_beta 90.00
_cell_angle_gamma 90.00
loop_
_atom_site_label
_atom_site_type_symbol
_atom_site_fract_x
_atom_site_fract_y
_atom_site_fract_z
Tm1 Tm 0.000 0.000 0.000
Mg1 Mg 0.500 0.500 0.000
Tl1 Tl 0.000 0.500 0.500
```

=====

## HoUTa (PBE)

Data for crystalline HoUTa at its relaxed geometry.

Calculated values
- DFT formation energy: 0.46 eV/atom

Cell and atoms, written as CIF:
```
data_HoUTa
_chemical_formula_sum 'Ho3 U3 Ta3'
_symmetry_space_group_name_H-M 'P -6 2 m'
_symmetry_Int_Tables_number 189
_symmetry_space_group_name_Hall 'P -6 -2'
_cell_length_a 8.7944
_cell_length_b 8.7944
_cell_length_c 3.0993
_cell_angle_alpha 90.00
_cell_angle_beta 90.00
_cell_angle_gamma 120.00
loop_
_atom_site_label
_atom_site_type_symbol
_atom_site_fract_x
_atom_site_fract_y
_atom_site_fract_z
Ho1 Ho 0.0000 0.3344 0.0000
U1 U 0.0000 0.0000 0.5000
U2 U 0.3333 0.6667 0.5000
Ta1 Ta 0.0000 0.6675 0.5000
```

=====

## TaGeAsO (PBE)

Data for crystalline TaGeAsO at its relaxed geometry.

Cell and atoms, written as CIF:
```
data_TaGeAsO
_chemical_formula_sum 'Ta2 Ge2 As2 O2'
_symmetry_space_group_name_H-M 'P m c 21'
_symmetry_Int_Tables_number 26
_cell_length_a 3.551
_cell_length_b 6.664
_cell_length_c 6.023
_cell_angle_alpha 90.00
_cell_angle_beta 90.00
_cell_angle_gamma 90.00
loop_
_symmetry_equiv_pos_as_xyz
'x,y,z'
'-x,-y,z+1/2'
'-x,y,z'
'x,-y,z+1/2'
loop_
_atom_site_label
_atom_site_type_symbol
_atom_site_fract_x
_atom_site_fract_y
_atom_site_fract_z
Ta1 Ta 0.000 0.247 0.000
Ge1 Ge 0.500 0.396 0.550
As1 As 0.000 0.153 0.411
O1 O 0.500 0.212 0.867
```

=====

| no. | final energy (eV/atom) |
| --- | --- |
| 1 | -3.1912 |
| 2 | -6.9714 |
| 3 | -3.5569 |
| 4 | -6.7800 |
| 5 | -7.7599 |
| 6 | -2.9091 |
| 7 | -8.7840 |
| 8 | -7.0182 |